A relaxed Np2U2Se7 crystal. Source: Alexandria, functional PBE-GGA.

Geometry as POSCAR:
```
Np2U2Se7
1.0
3.931 0.000 0.843
1.123 7.668 4.348
0.151 -0.100 8.885
U Se Np
2 7 2
Cartesian
3.976 6.426 10.220
1.405 2.551 3.034
3.978 3.122 10.214
1.654 5.342 11.460
3.000 3.789 5.184
3.340 0.541 3.601
0.795 0.990 5.881
2.415 5.457 7.913
2.126 -0.018 9.259
2.433 2.431 7.828
0.912 5.977 5.336
```

Values from the calculation:
The uncorrected formation energy is -1.1181 eV/atom. The space group is No. 44.

***

A relaxed Cs5P3Pt3 crystal. Source: Alexandria, functional PBE-GGA.

Geometry as POSCAR:
```
Cs5P3Pt3
1.0
4.397 0.000 0.000
0.000 9.516 -5.494
0.000 0.000 10.988
Cs Pt P
5 3 3
Cartesian
2.199 3.172 5.494
2.199 6.344 0.000
2.199 2.593 1.497
2.199 0.000 7.994
2.199 6.923 -3.997
0.000 0.000 3.990
0.000 3.455 -1.995
0.000 6.061 3.499
2.199 6.057 3.497
2.199 3.459 -1.997
2.199 0.000 3.994
```

Values from the calculation:
The calculation puts the energy of formation from the pure elements at -0.46 eV per atom. The space group is No. 189.

***

A relaxed MnSiSb2 crystal. Source: Alexandria, functional PBE-GGA.

Geometry as POSCAR:
```
MnSiSb2
1.0
-0.553 3.682 3.305
1.226 -0.731 4.769
4.007 2.250 1.913
Sb Mn Si
2 1 1
Cartesian
0.000 0.000 0.000
1.170 1.300 2.497
2.340 2.600 4.994
3.510 3.901 7.491
```

Values from the calculation:
The uncorrected formation energy is 0.6112 eV/atom. The space group is No. 216.

***

A relaxed Tb3PrPt8 crystal. Source: Alexandria, functional PBE-GGA.

Geometry as POSCAR:
```
Tb3PrPt8
1.0
-3.623 -4.001 0.966
1.011 1.600 -5.146
6.547 -6.074 -0.603
Pt Pr Tb
8 1 3
Cartesian
1.359 -1.638 -1.686
1.826 -7.756 -2.053
2.738 -3.302 -3.410
1.870 -0.829 -4.288
3.610 -5.786 -2.528
0.038 -2.852 -3.800
3.113 -6.574 0.006
6.009 -6.337 -3.711
3.712 -3.444 -0.342
6.152 -5.708 -0.566
0.736 -4.745 -1.331
-1.666 -2.516 -1.109
```

Values from the calculation:
The calculation puts the energy of formation from the pure elements at -1.04 eV per atom. The space group is No. 156.

***

A relaxed InHPd2 crystal. Source: Alexandria, functional PBE-GGA.

Geometry as POSCAR:
```
InHPd2
1.0
6.147 0.000 0.000
0.000 6.147 0.000
3.073 3.073 2.944
In Pd H
2 4 2
Cartesian
6.147 3.073 1.472
0.000 0.000 0.000
3.912 1.537 0.736
2.235 4.610 0.736
7.684 6.986 2.208
4.610 5.308 2.208
3.073 6.147 1.472
3.073 3.073 0.000
```

Values from the calculation:
For the total energy, the calculation gives -0.163 hartree per atom. The space group is No. 122.

***

A relaxed GaNiPd3 crystal. Source: Alexandria, functional PBE-GGA.

Geometry as POSCAR:
```
GaNiPd3
1.0
2.814 -0.318 -0.293
-2.114 7.216 -0.396
-0.772 -0.924 7.465
Pd Ni Ga
6 2 2
Cartesian
-0.043 3.969 -0.215
-0.830 5.910 3.982
0.254 6.856 -0.528
0.215 3.638 2.599
-0.082 0.751 2.912
0.231 0.773 5.867
0.546 4.138 5.267
-1.142 2.546 4.582
1.286 1.886 0.946
-1.114 5.722 1.437
```

Values from the calculation:
The calculation puts the energy of formation from the pure elements at -0.31 eV per atom. The space group is No. 12.

***

A relaxed InSbP crystal. Source: Alexandria, functional PBE-GGA.

Geometry as POSCAR:
```
InSbP
1.0
-3.673 6.727 1.958
-3.662 -2.057 0.196
3.389 -5.148 9.298
Sb P In
4 4 4
Cartesian
0.190 0.648 10.327
-3.336 2.194 5.777
-0.725 -2.067 9.842
-0.589 1.535 5.095
-3.268 1.765 2.548
0.258 0.219 7.098
0.260 -4.149 6.411
0.396 -0.547 1.664
-1.185 -1.876 3.255
2.340 -3.422 7.806
-1.025 -1.881 6.201
-0.888 1.721 1.454
```

Values from the calculation:
The uncorrected formation energy is 0.0500 eV/atom. The space group is No. 8.

***

A relaxed TmZr5In6 crystal. Source: Alexandria, functional PBE-GGA.

Geometry as POSCAR:
```
TmZr5In6
1.0
4.356 -0.002 -1.220
-3.076 7.364 -2.622
0.007 0.145 8.399
Zr In Tm
5 6 1
Cartesian
-2.047 4.953 1.058
-0.374 6.134 -1.356
-1.023 2.556 4.719
1.660 1.373 5.913
0.643 3.753 2.278
-0.193 3.097 -0.703
2.503 1.895 0.541
0.445 6.830 1.564
-1.217 5.612 4.016
0.841 0.676 2.993
1.479 4.410 5.260
0.000 0.000 0.000
```

Values from the calculation:
The calculation puts the energy of formation from the pure elements at -0.32 eV per atom. The space group is No. 71.

***

A relaxed KC3 crystal. Source: Alexandria, functional PBE-GGA.

Geometry as POSCAR:
```
KC3
1.0
-4.928 2.848 6.799
-4.796 -9.130 0.348
1.821 -0.892 1.694
C K
12 4
Cartesian
-5.086 -7.108 3.784
1.321 -0.676 1.315
-6.581 -3.841 7.115
-4.426 -3.320 4.040
-5.671 -4.286 7.960
-5.995 -6.663 2.939
-2.232 -2.887 0.880
-9.224 -6.498 7.526
-1.322 -3.333 1.726
-3.478 -3.853 4.801
-1.908 -0.511 5.902
-2.817 -0.065 5.056
-3.560 -5.285 2.075
-1.546 -0.498 2.430
-6.358 -6.675 6.411
-4.343 -1.888 6.766
```

Values from the calculation:
The calculation puts the energy of formation from the pure elements at 0.57 eV per atom. The space group is No. 62.

***

A relaxed LaMgOs2 crystal. Source: Alexandria, functional PBE-GGA.

Geometry as POSCAR:
```
LaMgOs2
1.0
-2.092 -0.860 -3.889
2.007 -2.005 -0.636
-2.623 -4.870 2.488
Os La Mg
2 1 1
Cartesian
-0.394 -3.846 1.063
-0.529 -6.467 1.715
-1.200 -2.149 -1.481
-1.507 -5.587 -0.555
```

Values from the calculation:
The calculation puts the energy of formation from the pure elements at 0.41 eV per atom. The space group is No. 10.

***

A relaxed Li2CrIr crystal. Source: Alexandria, functional PBE-GGA.

Geometry as POSCAR:
```
Li2CrIr
1.0
-1.029 -1.002 2.449
-3.600 -1.039 -1.938
1.705 -4.107 -0.965
Li Cr Ir
2 1 1
Cartesian
0.000 0.000 0.000
-2.314 -1.021 0.255
0.338 -2.555 0.742
-0.947 -2.573 -1.452
```

Values from the calculation:
The calculation puts the energy of formation from the pure elements at 0.06 eV per atom. The space group is No. 47.

***

A relaxed Fe2TeW crystal. Source: Alexandria, functional PBE-GGA.

Geometry as POSCAR:
```
Fe2TeW
1.0
8.267 -0.041 -0.024
7.724 2.947 -0.024
7.724 1.403 2.591
Fe Te W
2 1 1
Cartesian
23.649 4.297 2.536
6.093 1.107 0.653
11.965 2.174 1.283
17.580 3.194 1.885
```

Values from the calculation:
The uncorrected formation energy is 0.6464 eV/atom. The space group is No. 160.

***

| no. | magnetization (μB per atom) |
| --- | --- |
| 1 | 0.382 |
| 2 | 0.000 |
| 3 | 0.976 |
| 4 | 0.000 |
| 5 | 0.000 |
| 6 | 0.157 |
| 7 | 0.000 |
| 8 | 0.000 |
| 9 | 0.000 |
| 10 | 0.000 |
| 11 | 0.566 |
| 12 | 1.091 |